Entry 1:
RbCoRe2O8: relaxed, GGA+U.

Unit cell a=5.587 b=5.587 c=8.133 alpha=87.01 beta=87.01 gamma=64.34
Site moments in Bohr magnetons follow the coordinates.
Atoms (fractional coordinates):
Co 0.000 0.000 0.000  2.15
O 0.314 0.314 0.579  -0.01
O 0.296 0.786 0.178  0.00
O 0.796 0.796 0.083  0.03
O 0.704 0.214 0.822  0.00
O 0.204 0.204 0.917  0.03
O 0.786 0.296 0.178  0.00
O 0.214 0.704 0.822  0.00
O 0.686 0.686 0.421  -0.01
Re 0.359 0.359 0.786  -0.07
Re 0.641 0.641 0.214  -0.07
Rb 0.000 0.000 0.500  0.00

Values from the calculation:
- Spin magnetization: 2.000 Bohr magnetons per cell
- V: 228.4 Å³/cell
- Space-group type: C2/m

=====

Entry 2:
RbCoRhO6: relaxed, GGA+U.

Unit cell a=5.102 b=5.102 c=6.276 alpha=90.00 beta=90.00 gamma=60.00
Site moments in Bohr magnetons follow the coordinates.
Atoms (fractional coordinates):
O 0.012 0.396 0.329  0.08
O 0.592 0.012 0.329  0.08
O 0.396 0.592 0.329  0.08
O 0.012 0.592 0.671  0.08
O 0.592 0.396 0.671  0.08
O 0.396 0.012 0.671  0.08
Rh 0.667 0.667 0.500  0.67
Rb 0.000 0.000 0.000  0.00
Co 0.333 0.333 0.500  -1.07

Values from the calculation:
- Spin magnetization: 0.214 Bohr magnetons per cell
- V: 141.5 Å³/cell
- Space-group type: P312

=====

Entry 3:
Rb2CoRhO4: relaxed, GGA+U.

Unit cell a=5.169 b=6.873 c=10.375 alpha=84.62 beta=75.57 gamma=67.91
Site moments in Bohr magnetons follow the coordinates.
Atoms (fractional coordinates):
O 0.177 0.200 0.930  0.19
O 0.893 0.800 0.930  0.19
O 0.306 0.800 0.070  0.19
O 0.444 0.700 0.430  0.19
O 0.573 0.300 0.570  0.19
O 0.857 0.700 0.570  0.19
O 0.126 0.300 0.430  0.19
O 0.624 0.200 0.070  0.19
Co 0.000 0.000 0.000  2.63
Co 0.750 0.500 0.500  2.63
Rb 0.573 0.500 0.854  0.00
Rb 0.927 0.500 0.146  0.00
Rb 0.823 0.000 0.354  0.00
Rb 0.177 0.000 0.646  0.00
Rh 0.500 0.000 0.000  0.38
Rh 0.250 0.500 0.500  0.38

Values from the calculation:
- Spin magnetization: 7.944 Bohr magnetons per cell
- V: 330.8 Å³/cell
- Space-group type: Fddd

=====

Entry 4:
RbCoRuO6: relaxed, GGA+U.

Unit cell a=5.093 b=5.093 c=6.265 alpha=90.00 beta=90.00 gamma=60.00
Atoms (fractional coordinates):
O 0.394 0.609 0.334
O 0.609 0.997 0.334
O 0.394 0.997 0.666
O 0.609 0.394 0.666
O 0.997 0.394 0.334
O 0.997 0.609 0.666
Co 0.667 0.667 0.500
Ru 0.333 0.333 0.500
Rb 0.000 0.000 0.000

Values from the calculation:
- Spin magnetization: 0.000 Bohr magnetons per cell
- V: 140.7 Å³/cell
- Space-group type: P312

=====

Entry 5:
RbCoS2O6: relaxed, GGA+U.

Unit cell a=5.168 b=5.168 c=7.501 alpha=69.85 beta=69.85 gamma=60.00
Site moments in Bohr magnetons follow the coordinates.
Atoms (fractional coordinates):
O 0.282 0.922 0.323  -0.06
O 0.473 0.282 0.323  -0.06
O 0.078 0.527 0.677  -0.06
O 0.922 0.473 0.323  -0.06
O 0.527 0.718 0.677  -0.06
O 0.718 0.078 0.677  -0.06
Rb 0.000 0.000 0.000  0.00
Co 0.500 0.500 0.500  2.64
S 0.752 0.752 0.745  -0.06
S 0.248 0.248 0.255  -0.06

Values from the calculation:
- Spin magnetization: 1.997 Bohr magnetons per cell
- V: 159.2 Å³/cell
- Space-group type: R-3

=====

Entry 6:
Rb2CoSbO4: relaxed, GGA+U.

Unit cell a=6.373 b=6.026 c=5.723 alpha=117.88 beta=120.06 gamma=96.04
Site moments in Bohr magnetons follow the coordinates.
Atoms (fractional coordinates):
O 0.989 0.113 0.743  0.00
O 0.902 0.505 0.268  -0.10
O 0.755 0.631 0.744  0.00
O 0.365 0.761 0.266  -0.10
Sb 0.717 0.717 0.435  -0.10
Rb 0.212 0.212 0.424  -0.01
Rb 0.461 0.961 0.922  0.00
Co 0.986 0.486 0.973  2.60

Values from the calculation:
- Spin magnetization: 2.217 Bohr magnetons per cell
- V: 150.7 Å³/cell
- Space-group type: C2

=====

Entry 7:
RbScCoO3: relaxed, GGA+U.

Unit cell a=3.358 b=7.844 c=8.056 alpha=109.39 beta=90.00 gamma=90.00
Site moments in Bohr magnetons follow the coordinates.
Atoms (fractional coordinates):
Co 0.250 0.079 0.623  2.59
Co 0.750 0.921 0.377  2.59
O 0.250 0.519 0.865  0.01
O 0.750 0.832 0.127  0.08
O 0.750 0.177 0.558  0.19
O 0.250 0.168 0.873  0.08
O 0.250 0.823 0.442  0.19
O 0.750 0.481 0.135  0.01
Rb 0.250 0.232 0.240  0.00
Rb 0.750 0.768 0.760  0.00
Sc 0.250 0.656 0.129  0.00
Sc 0.750 0.344 0.871  0.00

Values from the calculation:
- Spin magnetization: 6.001 Bohr magnetons per cell
- V: 200.2 Å³/cell
- Space-group type: P2_1/m

=====

Entry 8:
RbCoSe2O6: relaxed, GGA+U.

Unit cell a=5.460 b=5.460 c=7.204 alpha=67.73 beta=67.73 gamma=60.00
Site moments in Bohr magnetons follow the coordinates.
Atoms (fractional coordinates):
O 0.707 0.098 0.682  -0.07
O 0.902 0.488 0.318  -0.07
O 0.488 0.293 0.318  -0.07
O 0.098 0.512 0.682  -0.07
O 0.293 0.902 0.318  -0.07
O 0.512 0.707 0.682  -0.07
Se 0.745 0.745 0.765  -0.03
Se 0.255 0.255 0.235  -0.03
Co 0.500 0.500 0.500  2.52
Rb 0.000 0.000 0.000  0.00

Values from the calculation:
- Spin magnetization: 1.953 Bohr magnetons per cell
- V: 167.3 Å³/cell
- Space-group type: R-3

=====

Entry 9:
Rb2CoSiO4: relaxed, GGA+U.

Unit cell a=5.059 b=6.467 c=10.676 alpha=84.68 beta=76.29 gamma=66.97
Site moments in Bohr magnetons follow the coordinates.
Atoms (fractional coordinates):
O 0.922 0.660 0.586  0.07
O 0.583 0.160 0.086  0.07
O 0.331 0.840 0.086  0.07
O 0.167 0.340 0.414  0.07
O 0.257 0.160 0.914  0.07
O 0.828 0.840 0.914  0.07
O 0.419 0.660 0.414  0.07
O 0.493 0.340 0.586  0.07
Si 0.250 0.500 0.500  0.00
Si 0.500 0.000 0.000  0.00
Co 0.750 0.500 0.500  2.61
Co 0.000 0.000 0.000  2.61
Rb 0.174 0.000 0.652  0.00
Rb 0.576 0.500 0.848  0.00
Rb 0.826 0.000 0.348  0.00
Rb 0.924 0.500 0.152  0.00

Values from the calculation:
- Spin magnetization: 6.057 Bohr magnetons per cell
- V: 312.3 Å³/cell
- Space-group type: Fddd

=====

Entry 10:
Rb2CoSnO5: relaxed, GGA+U.

Unit cell a=3.331 b=8.014 c=12.769 alpha=90.00 beta=90.00 gamma=101.99
Site moments in Bohr magnetons follow the coordinates.
Atoms (fractional coordinates):
O 0.932 0.864 0.499  0.07
O 0.068 0.136 0.999  0.07
O 0.697 0.394 0.139  0.01
O 0.509 0.018 0.813  0.43
O 0.303 0.606 0.639  0.01
O 0.491 0.982 0.313  0.43
O 0.668 0.336 0.510  0.23
O 0.315 0.629 0.426  0.03
O 0.332 0.664 0.010  0.23
O 0.685 0.371 0.926  0.03
Sn 0.207 0.413 0.039  0.00
Sn 0.793 0.587 0.539  0.00
Rb 0.855 0.711 0.824  0.01
Rb 0.082 0.164 0.650  0.00
Rb 0.145 0.289 0.324  0.01
Rb 0.918 0.836 0.150  0.00
Co 0.567 0.134 0.924  2.58
Co 0.433 0.866 0.424  2.58

Values from the calculation:
- Spin magnetization: 7.205 Bohr magnetons per cell
- V: 333.4 Å³/cell
- Space-group type: Cmc2_1

=====

Entry 11:
RbSrCoO2: relaxed, GGA+U.

Unit cell a=5.409 b=6.100 c=7.286 alpha=90.15 beta=90.00 gamma=90.00
Site moments in Bohr magnetons follow the coordinates.
Atoms (fractional coordinates):
O 0.739 0.819 0.000  0.07
O 0.261 0.181 0.000  0.07
O 0.739 0.181 0.500  0.07
O 0.261 0.819 0.500  0.07
Rb 0.998 0.500 0.250  -0.01
Rb 0.002 0.500 0.750  -0.01
Co 0.000 0.000 0.000  1.95
Co 0.000 0.000 0.500  1.95
Sr 0.500 0.000 0.750  0.00
Sr 0.500 0.000 0.250  0.00

Values from the calculation:
- Spin magnetization: 4.000 Bohr magnetons per cell
- V: 240.4 Å³/cell
- Space-group type: P2/c

=====

Entry 12:
RbSrCoO3: relaxed, GGA+U.

Unit cell a=3.895 b=6.979 c=7.992 alpha=105.29 beta=90.00 gamma=106.21
Site moments in Bohr magnetons follow the coordinates.
Atoms (fractional coordinates):
Co 0.007 0.013 0.288  2.36
Co 0.993 0.987 0.712  2.36
O 0.506 0.013 0.294  0.14
O 0.866 0.732 0.222  0.14
O 0.851 0.701 0.639  0.12
O 0.149 0.299 0.361  0.12
O 0.494 0.987 0.706  0.14
O 0.134 0.268 0.778  0.14
Sr 0.652 0.305 0.578  0.01
Sr 0.348 0.695 0.422  0.01
Rb 0.644 0.288 0.066  0.00
Rb 0.356 0.712 0.934  0.00

Values from the calculation:
- Spin magnetization: 5.733 Bohr magnetons per cell
- V: 200.6 Å³/cell
- Space-group type: C2/m

=====

Entry 13:
RbSr2CoO4: relaxed, GGA+U.

Unit cell a=3.569 b=6.708 c=12.434 alpha=90.00 beta=90.00 gamma=105.43
Site moments in Bohr magnetons follow the coordinates.
Atoms (fractional coordinates):
O 0.254 0.508 0.120  0.29
O 0.746 0.492 0.620  0.29
O 0.746 0.492 0.880  0.29
O 0.000 0.000 0.000  0.05
O 0.614 0.229 0.250  0.29
O 0.000 0.000 0.500  0.05
O 0.254 0.508 0.380  0.29
O 0.386 0.771 0.750  0.29
Rb 0.922 0.844 0.250  0.00
Rb 0.078 0.156 0.750  0.00
Sr 0.627 0.255 0.459  0.01
Sr 0.627 0.255 0.041  0.01
Sr 0.373 0.745 0.541  0.01
Sr 0.373 0.745 0.959  0.01
Co 0.193 0.386 0.250  2.94
Co 0.807 0.614 0.750  2.94

Values from the calculation:
- Spin magnetization: 8.262 Bohr magnetons per cell
- V: 287.0 Å³/cell
- Space-group type: Cmcm

=====

Entry 14:
RbTbCoO3: relaxed, GGA+U.

Unit cell a=3.575 b=7.864 c=8.470 alpha=107.23 beta=90.00 gamma=90.00
Site moments in Bohr magnetons follow the coordinates.
Atoms (fractional coordinates):
Tb 0.250 0.657 0.145  0.00
Tb 0.750 0.343 0.855  0.00
O 0.750 0.852 0.146  0.08
O 0.250 0.838 0.437  0.18
O 0.250 0.534 0.870  0.01
O 0.750 0.162 0.563  0.18
O 0.250 0.148 0.854  0.08
O 0.750 0.466 0.130  0.01
Co 0.750 0.927 0.383  2.61
Co 0.250 0.073 0.617  2.61
Rb 0.250 0.200 0.209  0.00
Rb 0.750 0.800 0.791  0.00

Values from the calculation:
- Spin magnetization: 6.008 Bohr magnetons per cell
- V: 227.4 Å³/cell
- Space-group type: P2_1/m

=====

Entry 15:
Rb2TbCoO4: relaxed, GGA+U.

Unit cell a=5.706 b=6.987 c=11.752 alpha=84.31 beta=75.95 gamma=65.90
Site moments in Bohr magnetons follow the coordinates.
Atoms (fractional coordinates):
Co 0.250 0.500 0.500  2.92
Co 0.500 0.000 0.000  2.92
Rb 0.940 0.500 0.120  0.00
Rb 0.190 0.000 0.620  0.00
Rb 0.810 0.000 0.380  0.00
Rb 0.560 0.500 0.880  0.00
Tb 0.750 0.500 0.500  0.03
Tb 0.000 0.000 0.000  0.03
O 0.524 0.318 0.574  0.21
O 0.848 0.818 0.926  0.21
O 0.416 0.682 0.426  0.21
O 0.593 0.182 0.074  0.21
O 0.157 0.318 0.426  0.21
O 0.334 0.818 0.074  0.21
O 0.226 0.182 0.926  0.21
O 0.902 0.682 0.574  0.21

Values from the calculation:
- Spin magnetization: 8.055 Bohr magnetons per cell
- V: 414.9 Å³/cell
- Space-group type: Fddd

=====

Entry 16:
Rb4Tb3CoO8: relaxed, GGA+U.

Unit cell a=6.855 b=7.636 c=6.936 alpha=116.86 beta=119.62 gamma=90.00
Site moments in Bohr magnetons follow the coordinates.
Atoms (fractional coordinates):
O 0.747 0.666 0.956  0.12
O 0.208 0.666 0.956  0.12
O 0.792 0.334 0.044  0.12
O 0.233 0.687 0.467  0.13
O 0.767 0.313 0.533  0.13
O 0.724 0.678 0.448  0.01
O 0.276 0.322 0.552  0.01
O 0.253 0.334 0.044  0.12
Tb 0.500 0.500 0.500  0.00
Tb 0.000 0.500 0.500  0.00
Tb 0.500 0.500 0.000  0.01
Rb 0.000 0.000 0.000  0.00
Rb 0.500 0.000 0.500  0.00
Rb 0.000 0.000 0.500  0.00
Rb 0.500 0.000 0.000  0.01
Co 0.000 0.500 0.000  3.00

Values from the calculation:
- Spin magnetization: 3.965 Bohr magnetons per cell
- V: 269.7 Å³/cell
- Space-group type: C2/m

=====

Entry 17:
RbCoTcO4: relaxed, GGA+U.

Unit cell a=5.191 b=5.850 c=8.597 alpha=90.00 beta=111.43 gamma=90.00
Site moments in Bohr magnetons follow the coordinates.
Atoms (fractional coordinates):
O 0.951 0.520 0.330  -0.03
O 0.231 0.750 0.101  -0.06
O 0.951 0.980 0.330  -0.03
O 0.769 0.250 0.899  -0.06
O 0.498 0.750 0.481  -0.05
O 0.049 0.480 0.670  -0.03
O 0.502 0.250 0.519  -0.05
O 0.049 0.020 0.670  -0.03
Tc 0.819 0.250 0.705  -1.25
Tc 0.181 0.750 0.295  -1.25
Rb 0.466 0.250 0.142  0.00
Rb 0.534 0.750 0.858  0.00
Co 0.880 0.750 0.509  2.54
Co 0.120 0.250 0.491  2.54

Values from the calculation:
- Spin magnetization: 2.000 Bohr magnetons per cell
- V: 243.1 Å³/cell
- Space-group type: P2_1/m

=====

Entry 18:
RbCoTeO4: relaxed, GGA+U.

Unit cell a=5.775 b=6.468 c=7.737 alpha=90.00 beta=102.52 gamma=90.00
Site moments in Bohr magnetons follow the coordinates.
Atoms (fractional coordinates):
O 0.622 0.750 0.545  0.58
O 0.305 0.750 0.203  0.11
O 0.892 0.950 0.290  0.09
O 0.695 0.250 0.797  0.11
O 0.108 0.050 0.710  0.09
O 0.378 0.250 0.455  0.58
O 0.108 0.450 0.710  0.09
O 0.892 0.550 0.290  0.09
Rb 0.141 0.250 0.111  0.01
Rb 0.859 0.750 0.889  0.01
Co 0.633 0.750 0.326  2.86
Co 0.367 0.250 0.674  2.86
Te 0.130 0.750 0.392  0.01
Te 0.870 0.250 0.608  0.01

Values from the calculation:
- Spin magnetization: 7.982 Bohr magnetons per cell
- V: 282.1 Å³/cell
- Space-group type: P2_1/m

=====

Entry 19:
Rb2TiCoO4: relaxed, GGA+U.

Unit cell a=5.100 b=6.657 c=10.713 alpha=84.77 beta=76.23 gamma=67.48
Site moments in Bohr magnetons follow the coordinates.
Atoms (fractional coordinates):
Co 0.750 0.500 0.500  2.58
Co 0.000 0.000 0.000  2.58
Rb 0.577 0.500 0.846  0.00
Rb 0.923 0.500 0.154  0.00
Rb 0.827 0.000 0.346  0.00
Rb 0.173 0.000 0.654  0.00
O 0.306 0.831 0.093  0.09
O 0.444 0.669 0.407  0.09
O 0.230 0.169 0.907  0.09
O 0.520 0.331 0.593  0.09
O 0.149 0.331 0.407  0.09
O 0.887 0.669 0.593  0.09
O 0.863 0.831 0.907  0.09
O 0.601 0.169 0.093  0.09
Ti 0.500 0.000 0.000  -0.05
Ti 0.250 0.500 0.500  -0.05

Values from the calculation:
- Spin magnetization: 5.973 Bohr magnetons per cell
- V: 326.3 Å³/cell
- Space-group type: Fddd

=====

no.,calculated total energy (eV/cell)
1,-89.90
2,-49.06
3,-82.35
4,-53.00
5,-56.72
6,-41.44
7,-79.35
8,-52.03
9,-94.90
10,-93.53
11,-50.77
12,-65.15
13,-89.96
14,-76.18
15,-88.91
16,-97.66
17,-90.23
18,-72.91
19,-100.68